Crystalline Zr2N3 at its relaxed geometry, computed with GGA-PBE.

a = 5.9264 Å, b = 5.9264 Å, c = 6.6694 Å
α = 90.00°, β = 90.00°, γ = 150.15°
Closest atoms and distances in Å follow each position.
Atoms (fractional coordinates):
Zr: 0.0000 0.0000 0.0000  8 N 2.36-2.38
Zr: 0.0000 0.0000 0.5000  8 N 2.36-2.38
Zr: 0.2500 0.7500 0.7500  7 N 2.19-2.45
Zr: 0.7500 0.2500 0.2500  7 N 2.19-2.45
N: 0.3475 0.6525 0.0771  5 Zr 2.21-2.45, 2 N 2.31-2.43
N: 0.3475 0.6525 0.4229  5 Zr 2.21-2.45, 2 N 2.31-2.43
N: 0.4416 0.5584 0.7500  5 Zr 2.19-2.36, 2 N 2.43
N: 0.5584 0.4416 0.2500  5 Zr 2.19-2.36, 2 N 2.43
N: 0.6525 0.3475 0.5771  5 Zr 2.21-2.45, 2 N 2.31-2.43
N: 0.6525 0.3475 0.9229  5 Zr 2.21-2.45, 2 N 2.31-2.43

Output
Uncorrected energy, eV per cell: -92.406
DOS(E_F), states/eV per cell: 3.677
ΔE_f (raw), meV/atom: -826
Total moment, μB/cell: 0.00